No. 1
Below is a relaxed NbVMo crystal, with properties calculated at the PBE level.

abc: 5.2458 5.2458 4.5135
angles: 90.00 90.00 130.37
Closest atoms and distances in Å follow each position.
Sites, in units of the cell vectors:
Nb (0.0870, 0.9130, 0.7500)  4 V 2.70-2.73, 2 Mo 2.75, 2 Nb 2.80
Nb (0.9130, 0.0870, 0.2500)  4 V 2.70-2.73, 2 Mo 2.75, 2 Nb 2.80
V (0.2489, 0.7511, 0.2500)  4 Mo 2.69-2.75, 4 Nb 2.70-2.73
V (0.7511, 0.2489, 0.7500)  4 Mo 2.69-2.75, 4 Nb 2.70-2.73
Mo (0.4133, 0.5867, 0.7500)  4 V 2.69-2.75, 2 Nb 2.75, 2 Mo 2.80
Mo (0.5867, 0.4133, 0.2500)  4 V 2.69-2.75, 2 Nb 2.75, 2 Mo 2.80

Computed properties:
Formation enthalpy at 0 K ... -1.13 kcal/mol of atoms
Excess energy over the best structure of this formula in the dataset ... 0.024 eV per atom
Raw total energy ... -60.3 eV per cell

No. 2
Below is a relaxed Y2AgOs crystal, with properties calculated at the PBE level.

abc: 6.3019 6.3019 6.3019
angles: 104.39 104.39 120.20
Closest atoms and distances in Å follow each position.
Sites, in units of the cell vectors:
Y (0.1006, 0.6250, 0.9756)  2 Os 2.72, 2 Ag 2.97
Y (0.3750, 0.3506, 0.4756)  2 Os 2.72, 2 Ag 2.97
Y (0.6494, 0.1250, 0.0244)  2 Os 2.72, 2 Ag 2.97
Y (0.8750, 0.8994, 0.5244)  2 Os 2.72, 2 Ag 2.97
Ag (0.2500, 0.7500, 0.5000)  4 Y 2.97, 2 Os 3.14
Ag (0.5000, 0.5000, 0.0000)  4 Y 2.97, 2 Os 3.14
Os (0.0000, 0.0000, 0.0000)  4 Y 2.72
Os (0.7500, 0.2500, 0.5000)  4 Y 2.72

Computed properties:
Formation enthalpy at 0 K ... 5.07 kcal/mol of atoms
Raw total energy ... -52.3 eV per cell

No. 3
Below is a relaxed Al2CuNi2 crystal, with properties calculated at the PBE level.

abc: 4.0330 4.0330 4.8688
angles: 90.00 90.00 120.00
Closest atoms and distances in Å follow each position.
Sites, in units of the cell vectors:
Al (0.3333, 0.6667, 0.1863)  5 Ni 2.37-2.50, 3 Cu 2.50
Al (0.6667, 0.3333, 0.8137)  5 Ni 2.37-2.50, 3 Cu 2.50
Cu (0.0000, 0.0000, 0.0000)  6 Al 2.50
Ni (0.3333, 0.6667, 0.6725)  5 Al 2.37-2.50
Ni (0.6667, 0.3333, 0.3275)  5 Al 2.37-2.50

Computed properties:
Formation enthalpy at 0 K ... -4.35 kcal/mol of atoms
Excess energy over the best structure of this formula in the dataset ... 0.244 eV per atom
Raw total energy ... -24.1 eV per cell